A plane-wave DFT calculation with PBE was carried out for crystalline KZnNF2 at its relaxed geometry.

abc: 4.397 4.397 3.935
angles: 90.00 90.00 90.00
Space group P4/mmm (No. 123)
Symmetry-distinct sites (fractional):
K: 0.000 0.000 0.000
Zn: 0.500 0.500 0.500
N: 0.500 0.500 0.000
F: 0.000 0.500 0.500

formation energy from raw total energies: -5.67 eV per formula unit

=====

A plane-wave DFT calculation with PBE was carried out for crystalline CeGaNi2 at its relaxed geometry.

abc: 7.314 6.414 5.690
angles: 90.00 90.00 90.00
Space group Pnma (No. 62)
Symmetry-distinct sites (fractional):
Ce: 0.042 0.250 0.173
Ga: 0.121 0.750 0.329
Ni: 0.172 0.055 0.579

DFT formation energy: -0.502 eV/atom

=====

A plane-wave DFT calculation with PBE was carried out for crystalline Be5As at its relaxed geometry.

abc: 9.510 2.487 5.825
angles: 90.00 112.60 90.00
Space group Cm (No. 8)
Symmetry-distinct sites (fractional):
Be: 0.000 0.000 0.000
Be: 0.043 0.000 0.652
Be: 0.247 0.500 0.936
Be: 0.344 0.000 0.700
Be: 0.444 0.000 0.286
As: 0.205 0.500 0.307

DFT formation energy: 0.380 eV/atom
energy above the lowest structure with this stoichiometry: 0.089 eV/atom

=====

A plane-wave DFT calculation with PBE was carried out for crystalline BiPOs2N at its relaxed geometry.

abc: 3.961 3.961 5.535
angles: 90.00 90.00 90.00
Space group P4/mmm (No. 123)
Symmetry-distinct sites (fractional):
Bi: 0.000 0.000 0.000
P: 0.500 0.500 0.000
Os: 0.000 0.500 0.500
N: 0.000 0.000 0.500

formation energy from raw total energies: 5.46 eV per formula unit

=====

A plane-wave DFT calculation with PBE was carried out for crystalline CaRu2I at its relaxed geometry.

abc: 6.634 6.634 6.634
angles: 90.00 90.00 90.00
Space group Fm-3m (No. 225)
Symmetry-distinct sites (fractional):
Ca: 0.000 0.000 0.000
Ru: 0.250 0.250 0.250
I: 0.000 0.000 0.500

formation energy from raw total energies: 2.45 eV per formula unit
energy above the lowest structure with this stoichiometry: 0.000 eV/atom

=====

A plane-wave DFT calculation with PBE was carried out for crystalline Sr2GeH at its relaxed geometry.

abc: 7.388 7.388 8.030
angles: 90.00 90.00 90.00
Space group I-42d (No. 122)
Symmetry-distinct sites (fractional):
Sr: 0.180 0.250 0.125
Ge: 0.000 0.000 0.500
H: 0.000 0.000 0.000

energy above the lowest structure with this stoichiometry: 0.155 eV/atom

=====

A plane-wave DFT calculation with PBE was carried out for crystalline CsI3Cl at its relaxed geometry.

abc: 7.595 7.595 7.595
angles: 90.00 90.00 90.00
Space group Pm-3m (No. 221)
Symmetry-distinct sites (fractional):
Cs: 0.000 0.000 0.000
I: 0.000 0.000 0.500
Cl: 0.500 0.500 0.500

formation energy from raw total energies: 0.59 eV per formula unit
energy above the lowest structure with this stoichiometry: 0.626 eV/atom

=====

A plane-wave DFT calculation with PBE was carried out for crystalline KBaW2 at its relaxed geometry.

abc: 3.461 6.039 11.829
angles: 90.00 90.00 90.00
Space group Imm2 (No. 44)
Symmetry-distinct sites (fractional):
K: 0.000 0.000 0.000
Ba: 0.000 0.500 0.208
W: 0.000 0.000 0.416
W: 0.000 0.500 0.775

DFT formation energy: 1.261 eV/atom
energy above the lowest structure with this stoichiometry: 0.366 eV/atom

=====

A plane-wave DFT calculation with PBE was carried out for crystalline LaTi2Hg at its relaxed geometry.

abc: 4.351 4.351 20.604
angles: 90.00 90.00 90.00
Space group I-42d (No. 122)
Symmetry-distinct sites (fractional):
La: 0.000 0.000 0.000
Ti: 0.229 0.250 0.625
Hg: 0.000 0.000 0.500

DFT formation energy: 0.397 eV/atom

=====

A plane-wave DFT calculation with PBE was carried out for crystalline YZn2NiAu4 at its relaxed geometry.

abc: 4.4505 4.4505 25.1777
angles: 90.00 90.00 120.00
Space group R-3m (No. 166, hexagonal axes)
Symmetry-distinct sites (fractional):
Y: 0.0000 0.0000 0.0000
Zn: 0.0000 0.0000 0.2390
Ni: 0.0000 0.0000 0.5000
Au: 0.0000 0.0000 0.1299
Au: 0.0000 0.0000 0.3959

DFT formation energy: -0.351 eV/atom

=====

A plane-wave DFT calculation with PBE was carried out for crystalline Sr3TaAl at its relaxed geometry.

abc: 6.073 6.073 6.073
angles: 90.00 90.00 90.00
Space group Pm-3m (No. 221)
Symmetry-distinct sites (fractional):
Sr: 0.000 0.000 0.500
Ta: 0.500 0.500 0.500
Al: 0.000 0.000 0.000

DFT formation energy: 1.140 eV/atom
energy above the lowest structure with this stoichiometry: 0.006 eV/atom

=====

A plane-wave DFT calculation with PBE was carried out for crystalline Li2InGe4 at its relaxed geometry.

abc: 5.251 5.251 13.282
angles: 90.00 90.00 90.00
Space group I4/mmm (No. 139)
Symmetry-distinct sites (fractional):
Li: 0.000 0.000 0.106
In: 0.000 0.000 0.500
Ge: 0.000 0.000 0.301
Ge: 0.000 0.500 0.000

DFT formation energy: 0.559 eV/atom

=====

A plane-wave DFT calculation with PBE was carried out for crystalline Tb8DyTm2 at its relaxed geometry.

abc: 8.986 16.282 5.864
angles: 90.00 125.00 90.00
Space group C2/m (No. 12)
Symmetry-distinct sites (fractional):
Tb: 0.000 0.205 0.000
Tb: 0.066 0.500 0.793
Tb: 0.219 0.121 0.687
Dy: 0.000 0.000 0.000
Tm: 0.000 0.310 0.500

DFT formation energy: 0.154 eV/atom
energy above the lowest structure with this stoichiometry: 0.136 eV/atom

=====

A plane-wave DFT calculation with PBE was carried out for crystalline TaNb2Sb at its relaxed geometry.

abc: 4.057 4.057 20.074
angles: 90.00 90.00 90.00
Space group I-42d (No. 122)
Symmetry-distinct sites (fractional):
Ta: 0.000 0.000 0.000
Nb: 0.246 0.250 0.625
Sb: 0.000 0.000 0.500

formation energy from raw total energies: 1.91 eV per formula unit

=====

A plane-wave DFT calculation with PBE was carried out for crystalline AlRh2Cl at its relaxed geometry.

abc: 2.877 4.190 5.044
angles: 90.00 90.00 90.00
Space group Pmmm (No. 47)
Symmetry-distinct sites (fractional):
Al: 0.000 0.000 0.000
Rh: 0.000 0.500 0.500
Rh: 0.500 0.500 0.000
Cl: 0.500 0.000 0.500

formation energy from raw total energies: -0.18 eV per formula unit
energy above the lowest structure with this stoichiometry: 0.384 eV/atom